First-principles (PBE) data for a relaxed PH2I crystal, as listed in Alexandria.

Cell: 6.9882 4.7938 15.9919 Å, 138.00 90.00 90.00°
Sites, in units of the cell vectors:
P (0.2500, 0.5573, 0.6440)
P (0.7500, 0.4427, 0.3560)
P (0.2500, 0.9427, 0.8560)
P (0.7500, 0.0573, 0.1440)
H (0.0975, 0.7195, 0.8449)
H (0.9025, 0.2805, 0.1551)
H (0.0975, 0.7805, 0.6551)
H (0.9025, 0.2195, 0.3449)
H (0.5975, 0.2806, 0.1552)
H (0.4025, 0.7194, 0.8448)
H (0.5975, 0.2194, 0.3448)
H (0.4025, 0.7806, 0.6552)
I (0.2500, 0.9491, 0.4015)
I (0.7500, 0.0509, 0.5985)
I (0.2500, 0.5509, 0.0985)
I (0.7500, 0.4491, 0.9015)

Results
Magnetic moment = 0.00 μB/f.u.
Distance to the lowest polymorph of the same formula = 0 meV per atom
Symmetry = No. 12
Raw total energy = -3.49 eV per atom